Model A:
! PBE Be3AgSn, relaxed; values from VASP
! SG = Pm-3m, No. 221
&SYSTEM
  ibrav = 0, nat = 5, ntyp = 3
/
ATOMIC_SPECIES
Sn 118.71 Sn.upf
Be 9.01 Be.upf
Ag 107.87 Ag.upf
ATOMIC_POSITIONS angstrom
Sn 0.0000 0.0000 0.0000
Be -1.8185 -1.3372 0.4367
Be 0.7078 -1.4866 -1.6046
Be 1.2156 -1.1347 1.5875
Ag 0.1050 -3.9585 0.4196
CELL_PARAMETERS angstrom
-3.6369 -2.6744 0.8733
1.4156 -2.9731 -3.2092
2.4313 -2.2695 3.1750

Model B:
! PBE Be3AgSn, relaxed; values from VASP
! SG = Pm-3m, No. 221
&SYSTEM
  ibrav = 0, nat = 5, ntyp = 3
/
ATOMIC_SPECIES
Be 9.01 Be.upf
Ag 107.87 Ag.upf
Sn 118.71 Sn.upf
ATOMIC_POSITIONS angstrom
Be 2.2073 0.0000 0.0000
Be 0.0000 0.0000 2.2073
Ag 0.0000 0.0000 0.0000
Be 0.0000 2.2073 0.0000
Sn 2.2073 2.2073 2.2073
CELL_PARAMETERS angstrom
4.4146 0.0000 0.0000
0.0000 4.4146 0.0000
0.0000 0.0000 4.4146

What should be chosen as the most stable of them? Choose model B.

Model A:
! PBE SrBe2Ag, relaxed; values from VASP
! SG = P4mm, No. 99
&SYSTEM
  ibrav = 0, nat = 4, ntyp = 3
/
ATOMIC_SPECIES
Be 9.01 Be.upf
Ag 107.87 Ag.upf
Sr 87.62 Sr.upf
ATOMIC_POSITIONS angstrom
Be 0.0208 0.1895 0.0467
Ag -1.1154 5.8013 2.7397
Sr 0.3738 3.4026 0.8384
Be -1.6380 1.0450 1.5677
CELL_PARAMETERS angstrom
-3.0311 0.4345 -0.4120
-0.5011 -0.6774 2.9726
0.7824 7.1209 1.7547

Model B:
! PBE SrBe2Ag, relaxed; values from VASP
! SG = I4_1/amd, No. 141
&SYSTEM
  ibrav = 0, nat = 8, ntyp = 3
/
ATOMIC_SPECIES
Be 9.01 Be.upf
Sr 87.62 Sr.upf
Ag 107.87 Ag.upf
ATOMIC_POSITIONS angstrom
Be 3.3963 2.2636 6.3750
Sr 2.2642 2.2642 0.0000
Be 4.5278 3.3963 2.1250
Sr 2.2642 4.5284 4.2500
Be 5.6605 2.2648 6.3750
Ag 4.5284 2.2642 4.2500
Be 4.5290 1.1321 2.1250
Ag 0.0000 0.0000 0.0000
CELL_PARAMETERS angstrom
4.5284 0.0000 0.0000
0.0000 4.5284 0.0000
2.2642 2.2642 8.5000

Model C:
! PBE SrBe2Ag, relaxed; values from VASP
! SG = Pm, No. 6
&SYSTEM
  ibrav = 0, nat = 4, ntyp = 3
/
ATOMIC_SPECIES
Sr 87.62 Sr.upf
Be 9.01 Be.upf
Ag 107.87 Ag.upf
ATOMIC_POSITIONS angstrom
Sr 0.0000 2.5083 2.5620
Be 0.0000 0.6858 0.0184
Ag 1.9438 4.3023 5.0539
Be 1.9438 0.6823 0.8398
CELL_PARAMETERS angstrom
3.8876 0.0000 0.0000
0.0000 3.7042 0.0469
0.0000 1.7482 5.6025

Model D:
! PBE SrBe2Ag, relaxed; values from VASP
! SG = Pmmm, No. 47
&SYSTEM
  ibrav = 0, nat = 4, ntyp = 3
/
ATOMIC_SPECIES
Be 9.01 Be.upf
Ag 107.87 Ag.upf
Sr 87.62 Sr.upf
ATOMIC_POSITIONS angstrom
Be -3.9325 0.6876 1.0523
Ag -5.1253 -1.1736 0.0524
Be -4.9954 -0.6044 2.4074
Sr -2.1494 -1.2014 -1.1008
CELL_PARAMETERS angstrom
-1.3227 -2.4305 -3.3549
-2.1473 -2.6133 2.7399
-3.8046 2.6688 -0.4334

What should be chosen as the most stable of them? Choose model D.

Model A:
! PBE SrBe2Ag, relaxed; values from VASP
! SG = Immm, No. 71
&SYSTEM
  ibrav = 0, nat = 4, ntyp = 3
/
ATOMIC_SPECIES
Sr 87.62 Sr.upf
Ag 107.87 Ag.upf
Be 9.01 Be.upf
ATOMIC_POSITIONS angstrom
Sr 2.7451 -0.2910 1.7116
Ag 0.2075 2.1528 1.7109
Be 1.9368 2.0112 0.0000
Be 0.4141 0.4300 0.0000
CELL_PARAMETERS angstrom
4.8885 -0.0025 0.0007
-0.1867 4.8850 -0.0007
-1.7492 -3.0207 3.4225

Model B:
! PBE SrBe2Ag, relaxed; values from VASP
! SG = F222, No. 22
&SYSTEM
  ibrav = 0, nat = 4, ntyp = 3
/
ATOMIC_SPECIES
Be 9.01 Be.upf
Ag 107.87 Ag.upf
Sr 87.62 Sr.upf
ATOMIC_POSITIONS angstrom
Be 2.4395 2.3951 3.4033
Ag 2.4000 -0.0049 1.7013
Be 0.0395 2.4000 1.7021
Sr 0.0000 0.0000 3.4033
CELL_PARAMETERS angstrom
4.8001 -0.0098 0.0000
0.0790 4.8000 0.0000
-2.4395 -2.3951 3.4034

What should be chosen as the most stable of them? Choose model A.

Model A:
! PBE SrBe2Ag, relaxed; values from VASP
! SG = Fm-3m, No. 225
&SYSTEM
  ibrav = 0, nat = 4, ntyp = 3
/
ATOMIC_SPECIES
Ag 107.87 Ag.upf
Sr 87.62 Sr.upf
Be 9.01 Be.upf
ATOMIC_POSITIONS angstrom
Ag 3.3286 3.3286 3.3286
Sr 0.0000 0.0000 0.0000
Be 1.6643 1.6643 1.6643
Be 4.9929 4.9929 4.9929
CELL_PARAMETERS angstrom
0.0000 3.3286 3.3286
3.3286 0.0000 3.3286
3.3286 3.3286 0.0000

Model B:
! PBE SrBe2Ag, relaxed; values from VASP
! SG = P4/mmm, No. 123
&SYSTEM
  ibrav = 0, nat = 4, ntyp = 3
/
ATOMIC_SPECIES
Be 9.01 Be.upf
Ag 107.87 Ag.upf
Sr 87.62 Sr.upf
ATOMIC_POSITIONS angstrom
Be -2.0338 -2.1764 -0.7635
Ag -2.5761 -0.3540 1.6786
Sr -2.7521 0.8075 -1.1632
Be 0.0000 0.0000 0.0000
CELL_PARAMETERS angstrom
-3.2945 2.6299 1.2790
-2.2098 -1.0149 -3.6053
-1.8577 -3.3379 2.0782

What should be chosen as the most stable of them? Choose model A.